KRb2MnBi, optimized geometry, DFT GGA-PBE; mass density = 2.61 Mg/m³; formation enthalpy at 0 K = 3.9 eV/f.u.; M_tot = 5.000 μB/f.u.; total DFT energy (no corrections) = -0.17866 Ry per atom
1.0
6.990 0.000 0.000
0.000 6.990 0.000
0.000 0.000 6.173
K Rb Mn Bi
1 2 1 1
Direct
0.000 0.000 0.000 K
0.000 0.500 0.000 Rb
0.500 0.000 0.000 Rb
0.500 0.500 0.500 Mn
0.000 0.000 0.500 Bi